First-principles (GGA-PBE) data for an optimized crystal structure of Er4TePbSe2, as listed in Alexandria via LeMat-Bulk.

Properties
The density comes out at 9.123 g/cm3. As for the space group: No. 74. The value obtained for the uncorrected energy is -5.29 eV per atom. The magnetic moment is 0.00 μB per formula unit.

a b c (Å): 8.4251 8.4251 8.4251
angles (deg): 120.26 119.72 90.02
With the nearest neighbours (Å) after each atom.
Sites, in units of the cell vectors:
Er 0.2586 0.2499 0.4913  3 Se 2.88-2.93, 2 Pb 3.03, 1 Te 3.08
Er 0.2586 0.7673 0.0087  3 Se 2.88-2.93, 2 Pb 3.03, 1 Te 3.08
Er 0.2654 0.2460 0.0194  3 Se 2.87-2.93, 1 Pb 3.03, 2 Te 3.10
Er 0.2735 0.7540 0.5194  3 Se 2.87-2.93, 1 Pb 3.03, 2 Te 3.10
Er 0.7265 0.2460 0.4806  3 Se 2.87-2.93, 1 Pb 3.03, 2 Te 3.10
Er 0.7346 0.7540 0.9806  3 Se 2.87-2.93, 1 Pb 3.03, 2 Te 3.10
Er 0.7414 0.2327 0.9913  3 Se 2.88-2.93, 2 Pb 3.03, 1 Te 3.08
Er 0.7414 0.7501 0.5087  3 Se 2.88-2.93, 2 Pb 3.03, 1 Te 3.08
Te 0.0000 0.0000 0.5000  6 Er 3.08-3.10
Te 0.0000 0.5000 0.0000  6 Er 3.08-3.10
Pb 0.0000 0.5000 0.5000  6 Er 3.03
Pb 0.5000 0.5000 0.0000  6 Er 3.03
Se 0.0000 0.0000 0.0000  6 Er 2.93
Se 0.5000 0.0000 0.0000  6 Er 2.87-2.88
Se 0.5000 0.0000 0.5000  6 Er 2.93
Se 0.5000 0.5000 0.5000  6 Er 2.87-2.88